A relaxed CsNa2Cd2F7 crystal, computed with PBE.

Properties
The formation energy from raw total energies is -2.48 eV/atom. As for the symmetry: No. 139. The calculated volume is 201 Å³/f.u.

abc: 10.133 10.133 10.133
angles: 153.93 153.93 37.20
Sites, in units of the cell vectors:
Cs  0.000  0.000  0.000
Na  0.250  0.750  0.500
Na  0.750  0.250  0.500
Cd  0.383  0.383  0.000
Cd  0.617  0.617  0.000
F  0.122  0.622  0.500
F  0.266  0.266  0.000
F  0.378  0.878  0.500
F  0.500  0.500  0.000
F  0.622  0.122  0.500
F  0.734  0.734  0.000
F  0.878  0.378  0.500